A plane-wave DFT calculation with PBE was carried out for a geometry-optimized LiIrW structure.

```
data_LiIrW
_chemical_formula_sum 'Li2 Ir2 W2'
_cell_length_a 2.7408
_cell_length_b 4.0361
_cell_length_c 7.6740
_cell_angle_alpha 90.00
_cell_angle_beta 90.00
_cell_angle_gamma 90.00
_symmetry_space_group_name_H-M 'I m m 2'
_symmetry_Int_Tables_number 44
_symmetry_space_group_name_Hall 'I 2 -2'
loop_
_atom_site_label
_atom_site_type_symbol
_atom_site_fract_x
_atom_site_fract_y
_atom_site_fract_z
Li1 Li 0.0000 0.0000 0.0000
Ir1 Ir 0.0000 0.0000 0.3384
W1 W 0.0000 0.0000 0.6713
```

Summary:
- formation energy (meV/atom) = 26
- DOS(E_F) (states/eV per cell) = 4.19
- excess energy over the best structure of this formula in the dataset (eV/f.u.) = 0.03

=====

A plane-wave DFT calculation with PBE was carried out for a geometry-optimized NdMgAlS4 structure.

```
data_NdMgAlS4
_chemical_formula_sum 'Nd4 Mg4 Al4 S16'
_cell_length_a 7.6971
_cell_length_b 7.6996
_cell_length_c 10.7813
_cell_angle_alpha 90.00
_cell_angle_beta 90.00
_cell_angle_gamma 90.00
_symmetry_space_group_name_H-M 'I m m a'
_symmetry_Int_Tables_number 74
_symmetry_space_group_name_Hall '-I 2b 2'
loop_
_atom_site_label
_atom_site_type_symbol
_atom_site_fract_x
_atom_site_fract_y
_atom_site_fract_z
Nd1 Nd 0.2500 0.2500 0.2500
Mg1 Mg 0.0000 0.0000 0.0000
Al1 Al 0.0000 0.2500 0.6225
S1 S 0.0000 0.0130 0.7538
S2 S 0.2433 0.2500 0.9899
```

Summary:
- E_form (uncorrected) (eV/atom) = -1.42

=====

A plane-wave DFT calculation with PBE was carried out for a geometry-optimized RbTlCuBr6 structure.

```
data_RbTlCuBr6
_chemical_formula_sum 'Rb1 Tl1 Cu1 Br6'
_cell_length_a 6.8312
_cell_length_b 7.0305
_cell_length_c 7.6002
_cell_angle_alpha 92.02
_cell_angle_beta 98.43
_cell_angle_gamma 111.71
_symmetry_space_group_name_H-M 'P 1'
_symmetry_Int_Tables_number 1
_symmetry_space_group_name_Hall 'P 1'
loop_
_atom_site_label
_atom_site_type_symbol
_atom_site_fract_x
_atom_site_fract_y
_atom_site_fract_z
Rb1 Rb 0.0000 0.0000 0.0000
Tl1 Tl 0.6042 0.3409 0.4906
Cu1 Cu 0.2382 0.6651 0.5437
Br1 Br 0.2819 0.4494 0.2991
Br2 Br 0.3482 0.0183 0.6876
Br3 Br 0.5337 0.6178 0.7407
Br4 Br 0.5632 0.0699 0.2204
Br5 Br 0.9234 0.6890 0.3570
Br6 Br 0.9631 0.3934 0.7311
```

Summary:
- E_form (uncorrected) (eV/atom) = -0.68
- DOS(E_F) (states/eV per cell) = 0.45

=====

Number 1: M_tot 0.000 μB/atom. Number 2: M_tot 0.000 μB/atom. Number 3: M_tot 0.116 μB/atom.